w | Below is a relaxed structure of PrEr2Zr, with properties calculated at the GGA-PBE level.

Cell: 4.8894 4.8976 4.8976 Å, 90.00 90.00 90.00°
Sites, in units of the cell vectors:
Er1 0.0000 0.0000 0.5000
Pr1 0.5000 0.5000 0.5000
Zr1 0.5000 0.0000 0.0000
Er2 0.0000 0.5000 0.0000

Space-group type   P4/mmm



x | Below is a relaxed structure of PrEr2Zr, with properties calculated at the GGA-PBE level.

Cell: 5.5109 5.5109 5.5109 Å, 60.00 60.00 60.00°
Last column: magnetic moment on the atom in μB.
Sites, in units of the cell vectors:
Er1 0.7500 0.7500 0.7500  0.15
Er2 0.2500 0.2500 0.2500  0.15
Pr1 0.0000 0.0000 0.0000  -0.04
Zr1 0.5000 0.5000 0.5000  0.54

Space-group type   Fm-3m



y | Below is a relaxed structure of PrEr2Zr, with properties calculated at the GGA-PBE level.

Cell: 3.9966 3.9966 7.4843 Å, 90.00 90.00 90.00°
Sites, in units of the cell vectors:
Pr1 0.5000 0.5000 0.5000
Er1 0.0000 0.0000 0.7828
Zr1 0.5000 0.5000 0.0000
Er2 0.0000 0.0000 0.2172

Space-group type   P4/mmm



Tell me which of them is the least stable. Sure, it is x.



w | Below is a relaxed structure of PrEr2Zr, with properties calculated at the GGA-PBE level.

Cell: 3.4702 3.4702 11.5059 Å, 81.33 81.33 60.00°
Sites, in units of the cell vectors:
Er1 0.2566 0.2566 0.2302
Pr1 0.5004 0.5004 0.4988
Er2 0.0765 0.0765 0.7704
Zr1 0.6665 0.6665 0.0006

Space-group type   R3m



x | Below is a relaxed structure of PrEr2Zr, with properties calculated at the GGA-PBE level.

Cell: 3.3723 3.3723 12.2457 Å, 82.09 82.09 60.00°
Sites, in units of the cell vectors:
Pr1 0.5000 0.5000 0.5000
Er1 0.9148 0.9148 0.2555
Er2 0.0852 0.0852 0.7445
Zr1 0.0000 0.0000 0.0000

Space-group type   R-3m



Tell me which of them is the least stable. Sure, it is x.



w | Below is a relaxed structure of Er4Pt, with properties calculated at the GGA-PBE level.

Cell: 7.6709 7.6709 7.6709 Å, 60.00 60.00 60.00°
Sites, in units of the cell vectors:
Er1 0.8600 0.8600 0.4200
Pt1 0.2500 0.2500 0.2500
Er2 0.4200 0.8600 0.8600
Er3 0.8600 0.8600 0.8600
Er4 0.8600 0.4200 0.8600
Er5 0.3900 0.3900 0.3900
Er6 0.3900 0.3900 0.8300
Er7 0.3900 0.8300 0.3900
Pt2 0.0000 0.0000 0.0000
Er8 0.8300 0.3900 0.3900

Space-group type   Fd-3m



x | Below is a relaxed structure of Er4Pt, with properties calculated at the GGA-PBE level.

Cell: 5.4221 5.4221 5.4221 Å, 90.00 90.00 90.00°
Sites, in units of the cell vectors:
Er1 0.0000 0.0000 0.0000
Er2 0.0000 0.5000 0.5000
Pt1 0.5000 0.5000 0.5000
Er3 0.5000 0.0000 0.5000
Er4 0.5000 0.5000 0.0000

Space-group type   Pm-3m



y | Below is a relaxed structure of Er4Pt, with properties calculated at the GGA-PBE level.

Cell: 7.2364 7.2364 7.2398 Å, 106.17 106.17 116.27°
Sites, in units of the cell vectors:
Pt1 0.5804 0.0804 0.5000
Er1 0.7902 0.0285 0.8416
Er2 0.6329 0.4740 0.7624
Er3 0.1205 0.4616 0.7376
Er4 0.7116 0.8705 0.2376
Pt2 0.3304 0.3304 0.0000
Er5 0.1986 0.9369 0.6584
Er6 0.2785 0.5402 0.3416
Er7 0.7240 0.3829 0.2624
Er8 0.1869 0.9486 0.1584

Space-group type   I-42d



Tell me which of them is the least stable. Sure, it is w.